1.
Compound: PHAuS2
Source: the Alexandria database
Functional: PBE
Structure: relaxed

As for the space group: P4/mmm (123). For the density of states at the Fermi level, the calculation gives 4.19 states/eV/cell. The offset from the most stable computed form is 0.000 eV/atom. The total magnetization comes out at 0.0 μB per formula unit.

a b c (Å): 4.8208 4.8208 3.1196
angles (deg): 90.00 90.00 90.00
Last column: nearest neighbours and their distance in Å.
Element x y z (fractional)
S: 0.5000 0.0000 0.0000  2 H 2.41
P: 0.0000 0.0000 0.5000  2 H 1.56
Au: 0.5000 0.5000 0.5000  8 S 2.87, 2 Au 3.12
S: 0.0000 0.5000 0.0000  2 H 2.41
H: 0.0000 0.0000 0.0000  2 P 1.56

***

2.
Compound: Dy12Tm7Pb
Source: the Alexandria database
Functional: PBE
Structure: relaxed

As for the space group: R-3 (148). For the density of states at the Fermi level, the calculation gives 36.51 states/eV/cell. The value obtained for the formation enthalpy at 0 K is 3.210 eV/f.u. The total magnetization comes out at 0.0 μB per formula unit.

a b c (Å): 8.5785 8.5785 8.5785
angles (deg): 88.64 88.64 88.64
Last column: nearest neighbours and their distance in Å.
Element x y z (fractional)
Dy: 0.4996 0.6169 0.1442  2 Tm 3.19-3.46, 4 Dy 3.22-3.42
Dy: 0.1318 0.7365 0.2587  5 Dy 3.23-3.51, 1 Pb 3.33, 2 Tm 3.50-3.59
Dy: 0.2635 0.7413 0.8682  5 Dy 3.23-3.51, 1 Pb 3.33, 2 Tm 3.50-3.59
Dy: 0.3831 0.8558 0.5004  2 Tm 3.19-3.46, 4 Dy 3.22-3.42
Tm: 0.9404 0.8526 0.6155  3 Tm 3.34-3.49, 4 Dy 3.46-3.65, 1 Pb 3.61
Tm: 0.8526 0.6155 0.9404  3 Tm 3.34-3.49, 4 Dy 3.46-3.65, 1 Pb 3.61
Dy: 0.6169 0.1442 0.4996  2 Tm 3.19-3.46, 4 Dy 3.22-3.42
Tm: 0.5000 0.5000 0.5000  6 Dy 3.19
Dy: 0.8558 0.5004 0.3831  2 Tm 3.19-3.46, 4 Dy 3.22-3.42
Dy: 0.8682 0.2635 0.7413  5 Dy 3.23-3.51, 1 Pb 3.33, 2 Tm 3.50-3.59
Dy: 0.7365 0.2587 0.1318  5 Dy 3.23-3.51, 1 Pb 3.33, 2 Tm 3.50-3.59
Dy: 0.5004 0.3831 0.8558  2 Tm 3.19-3.46, 4 Dy 3.22-3.42
Tm: 0.6155 0.9404 0.8526  3 Tm 3.34-3.49, 4 Dy 3.46-3.65, 1 Pb 3.61
Dy: 0.7413 0.8682 0.2635  5 Dy 3.23-3.51, 1 Pb 3.33, 2 Tm 3.50-3.59
Dy: 0.2587 0.1318 0.7365  5 Dy 3.23-3.51, 1 Pb 3.33, 2 Tm 3.50-3.59
Dy: 0.1442 0.4996 0.6169  2 Tm 3.19-3.46, 4 Dy 3.22-3.42
Tm: 0.3845 0.0596 0.1474  3 Tm 3.34-3.49, 4 Dy 3.46-3.65, 1 Pb 3.61
Tm: 0.0596 0.1474 0.3845  3 Tm 3.34-3.49, 4 Dy 3.46-3.65, 1 Pb 3.61
Pb: 0.0000 0.0000 0.0000  6 Dy 3.33, 6 Tm 3.61
Tm: 0.1474 0.3845 0.0596  3 Tm 3.34-3.49, 4 Dy 3.46-3.65, 1 Pb 3.61

***

3.
Compound: KCaOs2
Source: the Alexandria database
Functional: PBE
Structure: relaxed

As for the space group: P4/mmm (123). For the density of states at the Fermi level, the calculation gives 5.76 states/eV/cell. The offset from the most stable computed form is 0.682 eV/atom. The value obtained for the formation enthalpy at 0 K is 4.294 eV/f.u. The total magnetization comes out at 0.4 μB per formula unit.

a b c (Å): 2.7520 2.7520 10.4064
angles (deg): 90.00 90.00 90.00
Last column: nearest neighbours and their distance in Å.
Element x y z (fractional)
Ca: 0.5000 0.5000 0.2500  4 Ca 2.75, 8 Os 3.07
Os: 0.0000 0.0000 0.4782  4 Os 2.75, 4 Ca 3.07
Os: 0.0000 0.0000 0.0218  4 Os 2.75, 4 Ca 3.07
K: 0.5000 0.5000 0.7500  4 K 2.75

***

4.
Compound: CaZrAs2
Source: the Alexandria database
Functional: PBE
Structure: relaxed

As for the space group: R3m (160). For the density of states at the Fermi level, the calculation gives 0.78 states/eV/cell. The offset from the most stable computed form is 0.073 eV/atom. The value obtained for the formation enthalpy at 0 K is -4.426 eV/f.u. The total magnetization comes out at 0.0 μB per formula unit.

a b c (Å): 3.9520 3.9520 7.3691
angles (deg): 74.45 74.45 60.00
Last column: nearest neighbours and their distance in Å.
Element x y z (fractional)
As: 0.0749 0.0749 0.7754  3 Zr 2.75, 3 Ca 2.95
Ca: 0.4973 0.4973 0.5081  6 As 2.95-3.04
As: 0.2592 0.2592 0.2225  3 Zr 2.79, 3 Ca 3.04
Zr: 0.6687 0.6687 0.9940  6 As 2.75-2.79

***

5.
Compound: Tb3YEr3
Source: the Alexandria database
Functional: PBE
Structure: relaxed

As for the space group: P6_3/m (176). For the density of states at the Fermi level, the calculation gives 28.82 states/eV/cell. The offset from the most stable computed form is 0.000 eV/atom. The value obtained for the formation enthalpy at 0 K is 0.053 eV/f.u. The total magnetization comes out at 0.0 μB per formula unit.

a b c (Å): 5.6363 9.5500 9.5495
angles (deg): 120.00 90.00 90.00
Last column: nearest neighbours and their distance in Å.
Element x y z (fractional)
Tb: 0.7500 0.0460 0.2387  5 Er 3.50-3.62, 6 Tb 3.51-3.63, 1 Y 3.61
Er: 0.2500 0.5246 0.6188  5 Tb 3.50-3.62, 4 Er 3.50-3.63, 3 Y 3.51-3.60
Tb: 0.7500 0.1927 0.9540  5 Er 3.50-3.62, 6 Tb 3.51-3.63, 1 Y 3.61
Er: 0.2500 0.0941 0.4754  5 Tb 3.50-3.62, 4 Er 3.50-3.63, 3 Y 3.51-3.60
Er: 0.2500 0.3812 0.9059  5 Tb 3.50-3.62, 4 Er 3.50-3.63, 3 Y 3.51-3.60
Y: 0.2500 0.6666 0.3333  9 Er 3.51-3.60, 3 Tb 3.61
Er: 0.7500 0.6188 0.0941  5 Tb 3.50-3.62, 4 Er 3.50-3.63, 3 Y 3.51-3.60
Er: 0.7500 0.9059 0.5246  5 Tb 3.50-3.62, 4 Er 3.50-3.63, 3 Y 3.51-3.60
Er: 0.7500 0.4754 0.3812  5 Tb 3.50-3.62, 4 Er 3.50-3.63, 3 Y 3.51-3.60
Tb: 0.2500 0.2387 0.1928  5 Er 3.50-3.62, 6 Tb 3.51-3.63, 1 Y 3.61
Y: 0.7500 0.3334 0.6667  9 Er 3.51-3.60, 3 Tb 3.61
Tb: 0.2500 0.9540 0.7613  5 Er 3.50-3.62, 6 Tb 3.51-3.63, 1 Y 3.61
Tb: 0.2500 0.8073 0.0460  5 Er 3.50-3.62, 6 Tb 3.51-3.63, 1 Y 3.61
Tb: 0.7500 0.7613 0.8072  5 Er 3.50-3.62, 6 Tb 3.51-3.63, 1 Y 3.61

***

6.
Compound: Dy2ErScTe4
Source: the Alexandria database
Functional: PBE
Structure: relaxed

As for the space group: P2/m (10). For the density of states at the Fermi level, the calculation gives 5.20 states/eV/cell. For the energy relative to the elements, uncorrected, the calculation gives -1.2123 eV per atom. The total magnetization comes out at 0.0 μB per formula unit.

a b c (Å): 4.2622 7.4820 7.4681
angles (deg): 71.02 90.00 90.00
Last column: nearest neighbours and their distance in Å.
Element x y z (fractional)
Er: 0.0000 0.5000 0.5000  6 Te 3.03
Te: 0.5000 0.2569 0.7528  1 Sc 2.98, 2 Er 3.03, 3 Dy 3.06-3.10
Sc: 0.5000 0.5000 0.0000  6 Te 2.98
Dy: 0.0000 0.0000 0.0000  6 Te 3.06
Te: 0.0000 0.2606 0.2415  2 Sc 2.98, 1 Er 3.03, 3 Dy 3.06-3.10
Te: 0.5000 0.7431 0.2472  1 Sc 2.98, 2 Er 3.03, 3 Dy 3.06-3.10
Te: 0.0000 0.7394 0.7585  2 Sc 2.98, 1 Er 3.03, 3 Dy 3.06-3.10
Dy: 0.5000 0.0000 0.5000  6 Te 3.10

***

7.
Compound: YFe3Ge
Source: the Alexandria database
Functional: PBE
Structure: relaxed

As for the space group: Pm-3m (221). For the density of states at the Fermi level, the calculation gives 4.04 states/eV/cell. The offset from the most stable computed form is 1.411 eV/atom. The value obtained for the formation enthalpy at 0 K is 8.954 eV/f.u. The total magnetization comes out at 6.8 μB per formula unit.

a b c (Å): 4.7066 4.7066 4.7066
angles (deg): 90.00 90.00 90.00
Last column: nearest neighbours and their distance in Å.
Element x y z (fractional)
Fe: 0.0000 0.5000 0.0000  2 Y 2.35
Y: 0.0000 0.0000 0.0000  6 Fe 2.35
Fe: 0.5000 0.0000 0.0000  2 Y 2.35
Ge: 0.5000 0.5000 0.5000  12 Fe 3.33
Fe: 0.0000 0.0000 0.5000  2 Y 2.35

***

8.
Compound: Sm2MgN
Source: the Alexandria database
Functional: PBE
Structure: relaxed

As for the space group: R-3m (166). For the density of states at the Fermi level, the calculation gives 3.12 states/eV/cell. The offset from the most stable computed form is 0.205 eV/atom. For the energy relative to the elements, uncorrected, the calculation gives -0.5600 eV per atom. The total magnetization comes out at 0.0 μB per formula unit.

a b c (Å): 3.5057 3.5057 9.7013
angles (deg): 79.59 79.59 60.00
Last column: nearest neighbours and their distance in Å.
Element x y z (fractional)
Sm: 0.8813 0.8813 0.3562  3 N 2.44
Mg: 0.0000 0.0000 0.0000  2 Sm 3.38, 6 Mg 3.51
N: 0.5000 0.5000 0.5000  6 Sm 2.44
Sm: 0.1187 0.1187 0.6438  3 N 2.44

***

9.
Compound: ScPaGa3
Source: the Alexandria database
Functional: PBE
Structure: relaxed

As for the space group: Cmcm (63). For the density of states at the Fermi level, the calculation gives 10.63 states/eV/cell. The value obtained for the formation enthalpy at 0 K is -2.191 eV/f.u. The total magnetization comes out at 0.0 μB per formula unit.

a b c (Å): 4.0720 4.0639 12.6011
angles (deg): 99.28 90.00 90.00
Last column: nearest neighbours and their distance in Å.
Element x y z (fractional)
Ga: 0.2500 0.6819 0.3638  2 Ga 2.50
Pa: 0.2500 0.0743 0.1486  12 Ga 3.12-3.36
Ga: 0.2500 0.3767 0.7533  3 Ga 2.44-2.50
Pa: 0.7500 0.9257 0.8514  12 Ga 3.12-3.36
Ga: 0.2500 0.4747 0.9493  3 Ga 2.39-2.44
Ga: 0.7500 0.3181 0.6362  2 Ga 2.50
Sc: 0.2500 0.7958 0.5915  7 Ga 2.83-2.93
Ga: 0.7500 0.6233 0.2467  3 Ga 2.44-2.50
Sc: 0.7500 0.2042 0.4085  7 Ga 2.83-2.93
Ga: 0.7500 0.5253 0.0507  3 Ga 2.39-2.44

***

10.
Compound: ScAlO2
Source: the Alexandria database
Functional: PBE
Structure: relaxed

As for the space group: I-42d (122). For the density of states at the Fermi level, the calculation gives 2.49 states/eV/cell. For the energy relative to the elements, uncorrected, the calculation gives -2.2625 eV per atom. The total magnetization comes out at 1.8 μB per formula unit.

a b c (Å): 4.7647 4.7647 5.6570
angles (deg): 65.09 65.09 90.00
Last column: nearest neighbours and their distance in Å.
Element x y z (fractional)
Al: 0.2500 0.7500 0.5000  4 O 1.84
O: 0.8750 0.7979 0.7500  2 Al 1.84
O: 0.5479 0.1250 0.2500  2 Al 1.84
O: 0.3750 0.4521 0.7500  2 Al 1.84
Sc: 0.0000 0.0000 0.0000  4 O 2.27
Al: 0.5000 0.5000 0.0000  4 O 1.84
O: 0.2021 0.6250 0.2500  2 Al 1.84
Sc: 0.7500 0.2500 0.5000  4 O 2.27

***

What is the total magnetization in the fourth record?
0.0 μB per formula unit